1.
SCAN K2SiSe, single point on PBEsol structure; DOS(E_F) = 1.07 states/eV/cell; formation energy from raw total energies = -0.17 eV per atom
1.0
4.419 0.000 0.000
0.000 4.419 0.000
0.000 0.000 10.201
K Si Se
4 2 2
Direct
0.000 0.500 0.250
0.000 0.500 0.750
0.500 0.000 0.250
0.500 0.000 0.750
0.000 0.000 0.000
0.500 0.500 0.500
0.000 0.000 0.500
0.500 0.500 0.000

***

2.
SCAN KSi2Se, single point on PBEsol structure; DOS(E_F) = 4.27 states/eV/cell; formation energy from raw total energies = 0.55 eV per atom
1.0
5.765 0.000 0.000
0.000 10.902 0.000
0.000 0.000 2.667
K Si Se
2 4 2
Direct
0.000 0.000 0.000
0.500 0.500 0.000
0.250 0.250 0.500
0.250 0.750 0.500
0.750 0.250 0.500
0.750 0.750 0.500
0.000 0.500 0.000
0.500 0.000 0.000

***

3.
SCAN KSi2Se, single point on PBEsol structure; DOS(E_F) = 1.62 states/eV/cell; formation energy from raw total energies = 0.31 eV per atom
1.0
2.888 0.000 0.000
0.000 2.888 0.000
0.000 0.000 10.051
K Si Se
1 2 1
Direct
0.000 0.000 0.000
0.000 0.000 0.565
0.500 0.500 0.730
0.500 0.500 0.246